1.
First-principles (meta-GGA SCAN) data for a crystal of LaTc2Br relaxed with PBEsol, as listed in Alexandria via LeMat-Bulk.

raw formation energy	1.01	eV/atom
symmetry	Fm-3m, No. 225

Lattice parameters (Å, degrees): 4.6612 4.6612 4.6612 60.00 60.00 60.00
Positions (direct):
Tc: 0.2500 0.2500 0.2500
Tc: 0.7500 0.7500 0.7500
Br: 0.0000 0.0000 0.0000
La: 0.5000 0.5000 0.5000



2.
First-principles (meta-GGA SCAN) data for a crystal of LaZnTc2Br relaxed with PBEsol, as listed in Alexandria via LeMat-Bulk.

raw formation energy	1.43	eV/atom
symmetry	P4/mmm, No. 123

Lattice parameters (Å, degrees): 4.9101 4.9101 5.7222 90.00 90.00 90.00
Last column: magnetic moment on the atom in μB.
Positions (direct):
Zn: 0.5000 0.5000 0.5000  0.08
Tc: 0.0000 0.5000 0.0000  2.21
Tc: 0.5000 0.0000 0.0000  2.21
Br: 0.0000 0.0000 0.5000  0.06
La: 0.0000 0.0000 0.0000  -0.03



3.
First-principles (meta-GGA SCAN) data for a crystal of LaTeBr relaxed with PBEsol, as listed in Alexandria via LeMat-Bulk.

raw formation energy	-1.90	eV/atom
symmetry	F-43m, No. 216

Lattice parameters (Å, degrees): 5.2337 5.2337 5.2337 60.00 60.00 60.00
Positions (direct):
Te: 0.0000 0.0000 0.0000
Br: 0.5000 0.5000 0.5000
La: 0.2500 0.2500 0.2500